(1)
# BeGa3Ni4 (PBE, relaxed)
data_BeGa3Ni4
_symmetry_space_group_name_H-M 'P 4/m m m'
_symmetry_Int_Tables_number 123
_symmetry_space_group_name_Hall '-P 4 2'
_cell_length_a 2.743
_cell_length_b 2.743
_cell_length_c 12.296
_cell_angle_alpha 90.00
_cell_angle_beta 90.00
_cell_angle_gamma 90.00
loop_
_atom_site_label
_atom_site_type_symbol
_atom_site_fract_x
_atom_site_fract_y
_atom_site_fract_z
Be1 Be 0.000 0.000 0.000
Ga1 Ga 0.000 0.000 0.234
Ga2 Ga 0.000 0.000 0.500
Ni1 Ni 0.500 0.500 0.104
Ni2 Ni 0.500 0.500 0.368
# - DOS(E_F) (states/eV per cell) = 3.78
# - energy relative to the elements (kJ/mol of atoms) = -35.06

---

(2)
# NiAsOsBr2 (PBE, relaxed)
data_NiAsOsBr2
_symmetry_space_group_name_H-M 'P 4/m m m'
_symmetry_Int_Tables_number 123
_symmetry_space_group_name_Hall '-P 4 2'
_cell_length_a 4.731
_cell_length_b 4.731
_cell_length_c 4.860
_cell_angle_alpha 90.00
_cell_angle_beta 90.00
_cell_angle_gamma 90.00
loop_
_atom_site_label
_atom_site_type_symbol
_atom_site_fract_x
_atom_site_fract_y
_atom_site_fract_z
Ni1 Ni 0.000 0.000 0.000
As1 As 0.000 0.000 0.500
Os1 Os 0.500 0.500 0.500
Br1 Br 0.000 0.500 0.000
# - offset from the most stable computed form (meV per atom) = 231.5
# - DOS(E_F) (states/eV per cell) = 4.35
# - energy relative to the elements, uncorrected (eV per atom) = 1.282

---

(3)
# Dy2Hg5 (PBE, relaxed)
data_Dy2Hg5
_symmetry_space_group_name_H-M 'C 1 2/m 1'
_symmetry_Int_Tables_number 12
_symmetry_space_group_name_Hall '-C 2y'
_cell_length_a 8.926
_cell_length_b 5.330
_cell_length_c 8.281
_cell_angle_alpha 90.00
_cell_angle_beta 117.43
_cell_angle_gamma 90.00
loop_
_atom_site_label
_atom_site_type_symbol
_atom_site_fract_x
_atom_site_fract_y
_atom_site_fract_z
Dy1 Dy 0.240 0.000 0.174
Hg1 Hg 0.000 0.500 0.000
Hg2 Hg 0.065 0.000 0.741
Hg3 Hg 0.151 0.500 0.410
# - DOS(E_F) (states/eV per cell) = 7.78
# - energy relative to the elements (kJ/mol of atoms) = -29.04